# 1
VASP calculation (PBE) on a relaxed structure of LaBeAg2.

Computed properties:
ρ (Mg/m³): 7.9
E_form (eV per atom): 0.078
Total magnetization (μB per formula unit): 0.00

Lattice parameters (Å, degrees): 3.0966 3.1968 7.7466 90.00 90.00 90.00
With the nearest neighbours (Å) after each atom.
Sites, in units of the cell vectors:
La 0.0000 0.0000 0.0000  4 La 3.10-3.20, 8 Ag 3.33
Be 0.0000 0.0000 0.5000  8 Ag 2.63
Ag 0.5000 0.5000 0.3202  4 Be 2.63, 1 Ag 2.78
Ag 0.5000 0.5000 0.6798  4 Be 2.63, 1 Ag 2.78

---

# 2
VASP calculation (PBE) on a relaxed structure of LaBeAg2.

Computed properties:
ρ (Mg/m³): 7.4
E_form (eV per atom): 0.093
Total magnetization (μB per formula unit): 0.00

Lattice parameters (Å, degrees): 5.6944 5.6944 5.6944 147.29 124.28 66.13
With the nearest neighbours (Å) after each atom.
Sites, in units of the cell vectors:
La 0.0000 0.0000 0.0000  4 Be 3.11, 2 La 3.21, 8 Ag 3.25-3.32
Be 0.5000 0.5000 0.0000  4 Ag 2.46
Ag 0.3044 0.8044 0.5000  2 Be 2.46
Ag 0.6956 0.1956 0.5000  2 Be 2.46

---

# 3
VASP calculation (PBE) on a relaxed structure of LaBe3Ag.

Computed properties:
ρ (Mg/m³): 5.2
E_form (eV per atom): 0.293
Total magnetization (μB per formula unit): 0.00

Lattice parameters (Å, degrees): 4.4444 4.4444 4.4444 90.00 90.00 90.00
With the nearest neighbours (Å) after each atom.
Sites, in units of the cell vectors:
La 0.0000 0.0000 0.0000  12 Be 3.14
Be 0.0000 0.5000 0.5000  2 Ag 2.22
Be 0.5000 0.0000 0.5000  2 Ag 2.22
Be 0.5000 0.5000 0.0000  2 Ag 2.22
Ag 0.5000 0.5000 0.5000  6 Be 2.22

---

Question: Among the records above, which one has the highest E_form?
Answer: LaBe3Ag

---

Repeat the third record exactly.
VASP calculation (PBE) on a relaxed structure of LaBe3Ag.

Computed properties:
ρ (Mg/m³): 5.2
E_form (eV per atom): 0.293
Total magnetization (μB per formula unit): 0.00

Lattice parameters (Å, degrees): 4.4444 4.4444 4.4444 90.00 90.00 90.00
With the nearest neighbours (Å) after each atom.
Sites, in units of the cell vectors:
La 0.0000 0.0000 0.0000  12 Be 3.14
Be 0.0000 0.5000 0.5000  2 Ag 2.22
Be 0.5000 0.0000 0.5000  2 Ag 2.22
Be 0.5000 0.5000 0.0000  2 Ag 2.22
Ag 0.5000 0.5000 0.5000  6 Be 2.22

---

Question: Which of these has the lowest ρ?
Answer: LaBe3Ag